# 1
This record from OQMD describes crystalline MgCu2S2 at its relaxed geometry. The functional is PBE.

The calculation puts the total energy at -20.3 eV for the cell shown.

It has space group P-3m1 (No. 164), with a = 3.7929 Å, b = 3.7929 Å, c = 6.2577 Å, α = 90.00°, β = 90.00° and γ = 120.00°. Symmetry generates all atoms from Mg at (0.0000, 0.0000, 0.0000), Cu at (0.3333, 0.6667, 0.3860) and S at (0.3333, 0.6667, 0.7673).

=====

# 2
This record from OQMD describes crystalline MgScCuS3 at its relaxed geometry. The functional is PBE.

The calculation puts the total energy at -62.8 eV for the cell shown. The total magnetization is 0.0 μB/cell. As for the energy above the lowest structure with this stoichiometry: 0.0 kJ/mol of atoms.

It has space group P2_1/m (No. 11), with a = 7.108 Å, b = 3.600 Å, c = 8.565 Å, α = 90.00°, β = 101.65° and γ = 90.00°. Symmetry generates all atoms from Mg at (0.216, 0.250, 0.275), Sc at (0.318, 0.750, 0.829), Cu at (0.090, 0.250, 0.587), S at (0.068, 0.250, 0.848), S at (0.268, 0.750, 0.519) and S at (0.413, 0.750, 0.148).

=====

# 3
This record from OQMD describes crystalline MgScCuS3 at its relaxed geometry. The functional is PBE.

The calculation puts the total energy at -125.3 eV for the cell shown. The total magnetization is 0.0 μB/cell. As for the energy above the lowest structure with this stoichiometry: 1.5 kJ/mol of atoms.

It has space group Cmcm (No. 63), with a = 3.587 Å, b = 12.004 Å, c = 9.828 Å, α = 90.00°, β = 90.00° and γ = 90.00°. Symmetry generates all atoms from Mg at (0.000, 0.236, 0.250), Sc at (0.000, 0.000, 0.000), Cu at (0.000, 0.479, 0.750), S at (0.000, 0.102, 0.750) and S at (0.000, 0.358, 0.572).

=====

# 4
This record from OQMD describes crystalline MgScCuSeS2 at its relaxed geometry. The functional is PBE.

The calculation puts the total energy at -121.4 eV for the cell shown. The total magnetization is 0.0 μB/cell.

It has space group Cmcm (No. 63), with a = 3.605 Å, b = 12.432 Å, c = 9.875 Å, α = 90.00°, β = 90.00° and γ = 90.00°. Symmetry generates all atoms from Mg at (0.000, 0.216, 0.250), Sc at (0.000, 0.000, 0.000), Cu at (0.000, 0.478, 0.750), Se at (0.000, 0.110, 0.750) and S at (0.000, 0.362, 0.572).

=====

# 5
This record from OQMD describes crystalline MgScCuTeS2 at its relaxed geometry. The functional is PBE.

The calculation puts the total energy at -117.1 eV for the cell shown. The total magnetization is 0.0 μB/cell.

It has space group Cmcm (No. 63), with a = 3.698 Å, b = 13.026 Å, c = 10.350 Å, α = 90.00°, β = 90.00° and γ = 90.00°. Symmetry generates all atoms from Mg at (0.000, 0.190, 0.250), Sc at (0.000, 0.000, 0.000), Cu at (0.000, 0.483, 0.750), Te at (0.000, 0.122, 0.750) and S at (0.000, 0.373, 0.577).

=====

# 6
This record from OQMD describes crystalline MgScCuTe2S at its relaxed geometry. The functional is PBE.

The calculation puts the total energy at -107.9 eV for the cell shown. The total magnetization is 0.0 μB/cell.

It has space group Cmcm (No. 63), with a = 3.950 Å, b = 13.604 Å, c = 9.968 Å, α = 90.00°, β = 90.00° and γ = 90.00°. Symmetry generates all atoms from Mg at (0.000, 0.217, 0.250), Sc at (0.000, 0.500, 0.000), Cu at (0.000, 0.013, 0.750), Te at (0.000, 0.150, 0.566) and S at (0.000, 0.419, 0.750).

=====

# 7
This record from OQMD describes crystalline MgCu2SiSe2S2 at its relaxed geometry. The functional is PBE.

The calculation puts the total energy at -138.3 eV for the cell shown. As for the energy above the lowest structure with this stoichiometry: 0.2 kJ/mol of atoms.

It has space group Fmm2 (No. 42), with a = 7.828 Å, b = 7.895 Å, c = 10.644 Å, α = 90.00°, β = 90.00° and γ = 90.00°. Symmetry generates all atoms from Mg at (0.000, 0.000, 0.000), Cu at (0.250, 0.250, 0.276), Si at (0.000, 0.000, 0.507), Se at (0.000, 0.232, 0.639) and S at (0.222, 0.000, 0.385).

=====

# 8
This record from OQMD describes crystalline MgCu2SiSe2S2 at its relaxed geometry. The functional is PBE.

The calculation puts the total energy at -69.2 eV for the cell shown. As for the energy above the lowest structure with this stoichiometry: 0.0 kJ/mol of atoms.

It has space group C2 (No. 5), with a = 11.913 Å, b = 5.558 Å, c = 5.577 Å, α = 90.00°, β = 116.89° and γ = 90.00°. Symmetry generates all atoms from Mg at (0.000, 0.000, 0.000), Cu at (0.250, 0.485, 0.276), Si at (0.000, 0.469, 0.500), Se at (0.130, 0.707, 0.858) and S at (0.125, 0.253, 0.400).

=====

# 9
This record from OQMD describes crystalline SmMgCuSe2S at its relaxed geometry. The functional is PBE.

The calculation puts the total energy at -112.4 eV for the cell shown. The total magnetization is 0.0 μB/cell.

It has space group Cmcm (No. 63), with a = 3.851 Å, b = 12.592 Å, c = 10.595 Å, α = 90.00°, β = 90.00° and γ = 90.00°. Symmetry generates all atoms from Sm at (0.000, 0.000, 0.000), Mg at (0.000, 0.249, 0.250), Cu at (0.000, 0.483, 0.750), Se at (0.000, 0.346, 0.585) and S at (0.000, 0.095, 0.750).

=====

# 10
This record from OQMD describes crystalline TbMgCuSeS2 at its relaxed geometry. The functional is PBE.

The calculation puts the total energy at -116.5 eV for the cell shown. The total magnetization is 0.0 μB/cell.

It has space group Cmcm (No. 63), with a = 3.745 Å, b = 12.489 Å, c = 10.539 Å, α = 90.00°, β = 90.00° and γ = 90.00°. Symmetry generates all atoms from Tb at (0.000, 0.000, 0.000), Mg at (0.000, 0.217, 0.250), Cu at (0.000, 0.478, 0.750), Se at (0.000, 0.108, 0.750) and S at (0.000, 0.358, 0.584).

=====

# 11
This record from OQMD describes crystalline TmMgCuSe2S at its relaxed geometry. The functional is PBE.

The calculation puts the total energy at -111.5 eV for the cell shown. The total magnetization is 0.0 μB/cell.

It has space group Cmcm (No. 63), with a = 3.805 Å, b = 12.594 Å, c = 10.248 Å, α = 90.00°, β = 90.00° and γ = 90.00°. Symmetry generates all atoms from Tm at (0.000, 0.000, 0.000), Mg at (0.000, 0.250, 0.250), Cu at (0.000, 0.484, 0.750), Se at (0.000, 0.350, 0.577) and S at (0.000, 0.096, 0.750).

=====

# 12
This record from OQMD describes crystalline YMgCuSe2S at its relaxed geometry. The functional is PBE.

The calculation puts the total energy at -119.7 eV for the cell shown. The total magnetization is 0.0 μB/cell.

It has space group Cmcm (No. 63), with a = 3.821 Å, b = 12.567 Å, c = 10.395 Å, α = 90.00°, β = 90.00° and γ = 90.00°. Symmetry generates all atoms from Y at (0.000, 0.000, 0.000), Mg at (0.000, 0.250, 0.250), Cu at (0.000, 0.483, 0.750), Se at (0.000, 0.348, 0.580) and S at (0.000, 0.096, 0.750).